(1)
MgSn2Hg (PBE, relaxed); energy above the most stable polymorph in this dataset = 0.11 eV/f.u.; DFT total energy = -2.486 eV/atom; SG = P4/mmm, No. 123; DOS(E_F) = 2.1 states/eV/f.u.; magnetic moment = 0.0000 μB per atom
1.0
3.320 0.000 0.000
0.000 3.320 0.000
0.000 0.000 9.281
Sn Mg Hg
2 1 1
direct
0.000 0.000 0.226
0.000 0.000 0.774
0.500 0.500 0.000
0.500 0.500 0.500

=====

(2)
Mg4Sn2Hg5 (PBE, relaxed); DFT total energy = -1.556 eV/atom; SG = P-1, No. 2; DOS(E_F) = 4.1 states/eV/f.u.; magnetic moment = 0.0000 μB per atom
1.0
4.505 0.011 -1.249
0.867 6.151 2.832
0.739 3.357 10.730
Sn Hg Mg
2 5 4
direct
0.402 0.657 0.807
0.598 0.343 0.193
0.141 0.562 0.281
0.218 0.892 0.442
0.782 0.108 0.558
0.500 0.000 0.000
0.859 0.438 0.719
0.322 0.272 0.640
0.678 0.728 0.360
0.964 0.810 0.928
0.036 0.190 0.072